Entry 1:
BeCuNi2: optimized geometry, PBE.

```
BeCuNi2
1.0
-3.570 0.834 1.288
-2.831 -2.647 -0.272
-1.361 -1.726 3.204
Ni Cu Be
2 1 1
direct
0.000 0.000 0.000
0.250 0.250 0.250
0.750 0.750 0.750
0.500 0.500 0.500
```

Computed properties:
E_tot = -19.7 eV per cell

---

Entry 2:
Be3CuNi: optimized geometry, PBE.

```
Be3CuNi
1.0
-0.320 -0.833 3.806
2.850 -2.655 -0.342
2.658 2.746 0.824
Cu Be Ni
1 3 1
direct
0.500 0.500 0.500
0.000 0.500 0.000
0.500 0.000 0.000
0.000 0.000 0.500
0.000 0.000 0.000
```

Computed properties:
E_tot = -18.5 eV per cell

---

Entry 3:
BeCu2Ni: optimized geometry, PBE.

```
BeCu2Ni
1.0
-1.048 3.225 -0.611
-3.277 -1.046 0.104
-0.092 0.639 3.530
Ni Cu Be
1 2 1
direct
0.500 0.000 0.500
0.000 0.000 0.000
0.500 0.500 0.000
0.000 0.500 0.500
```

Computed properties:
E_tot = -18.1 eV per cell

---

Entry 4:
Be2CuNi6: optimized geometry, PBE.

```
Be2CuNi6
1.0
-0.060 2.762 2.248
3.572 -0.554 3.598
3.506 3.988 -1.984
Ni Cu Be
6 1 2
direct
0.985 0.187 0.843
0.335 0.830 0.500
0.672 0.813 0.843
0.015 0.813 0.157
0.328 0.187 0.157
0.665 0.170 0.500
0.000 0.500 0.500
0.664 0.500 0.172
0.336 0.500 0.828
```

Computed properties:
E_tot = -47.5 eV per cell

---

Entry 5:
Be6CuNi5: optimized geometry, PBE.

```
Be6CuNi5
1.0
3.520 -0.021 1.173
0.028 5.251 0.009
-0.003 -0.010 5.875
Ni Be Cu
5 6 1
direct
0.665 0.500 0.669
0.335 0.500 0.331
0.000 0.500 0.000
0.335 0.000 0.331
0.665 0.000 0.669
0.500 0.257 0.000
0.830 0.747 0.340
0.830 0.253 0.340
0.170 0.253 0.660
0.170 0.747 0.660
0.500 0.743 0.000
0.000 0.000 0.000
```

Computed properties:
E_tot = -60.2 eV per cell

---

Entry 6:
BeCuNi2: optimized geometry, PBE.

```
BeCuNi2
1.0
-0.169 2.141 -2.513
-2.212 -0.930 -0.643
-4.541 2.396 2.347
Be Cu Ni
1 1 2
direct
0.000 0.514 0.485
0.500 0.763 0.741
0.000 0.993 0.007
0.500 0.230 0.266
```

Computed properties:
E_tot = -19.8 eV per cell

---

no.,formation energy from the elements (kJ/mol of formula units)
1,-33
2,248
3,-37
4,-125
5,-464
6,-42